(1)
Compound: MgGeRu
Source: Alexandria
Functional: PBE
Structure: relaxed

The calculation puts the total energy at -5.39 eV per atom. As for the crystal system: monoclinic.

It has space group P2/m (No. 10), with a = 2.958 Å, b = 4.685 Å, c = 4.057 Å, α = 90.00°, β = 90.12° and γ = 90.00°. The distinct sites, in fractional coordinates, are Mg at (0.000, 0.000, 0.000), Ge at (0.000, 0.500, 0.500) and Ru at (0.500, 0.500, 0.000).

(2)
Compound: Ba2ScRh
Source: Alexandria
Functional: PBE
Structure: relaxed

The calculation puts the total energy at -4.59 eV per atom. As for the crystal system: trigonal.

It has space group R3m (No. 160, hexagonal axes), with a = 4.3860 Å, b = 4.3860 Å, c = 28.1908 Å, α = 90.00°, β = 90.00° and γ = 120.00°. The distinct sites, in fractional coordinates, are Ba at (0.0000, 0.0000, 0.0000), Ba at (0.0000, 0.0000, 0.1892), Sc at (0.0000, 0.0000, 0.7595) and Rh at (0.0000, 0.0000, 0.4447).

(3)
Compound: SrPaAs
Source: Alexandria
Functional: PBE
Structure: relaxed

The calculation puts the total energy at -5.59 eV per atom. As for the crystal system: orthorhombic.

It has space group Cmmm (No. 65), with a = 5.420 Å, b = 5.427 Å, c = 12.521 Å, α = 90.00°, β = 90.00° and γ = 90.00°. The distinct sites, in fractional coordinates, are Sr at (0.000, 0.000, 0.141), Pa at (0.000, 0.500, 0.397), As at (0.000, 0.000, 0.500) and As at (0.000, 0.500, 0.000).

(4)
Compound: PuZrSe2N
Source: Alexandria
Functional: PBE
Structure: relaxed

The calculation puts the total energy at -8.94 eV per atom. As for the crystal system: tetragonal.

It has space group P4/nmm (No. 129, origin choice 2), with a = 3.808 Å, b = 3.808 Å, c = 13.384 Å, α = 90.00°, β = 90.00° and γ = 90.00°. The distinct sites, in fractional coordinates, are Pu at (0.250, 0.250, 0.087), Zr at (0.250, 0.250, 0.588), Se at (0.250, 0.250, 0.379), Se at (0.250, 0.250, 0.796) and N at (0.250, 0.750, 0.000).

(5)
Compound: BaGa3W
Source: Alexandria
Functional: PBE
Structure: relaxed

The calculation puts the total energy at -4.96 eV per atom. As for the crystal system: cubic.

It has space group Pm-3m (No. 221), with a = 5.025 Å, b = 5.025 Å, c = 5.025 Å, α = 90.00°, β = 90.00° and γ = 90.00°. The distinct sites, in fractional coordinates, are Ba at (0.000, 0.000, 0.000), Ga at (0.000, 0.500, 0.500) and W at (0.500, 0.500, 0.500).

(6)
Compound: KMn2CrCl8
Source: Alexandria
Functional: PBE
Structure: relaxed

The calculation puts the total energy at -4.84 eV per atom. As for the crystal system: triclinic.

It has space group P-1 (No. 2), with a = 6.252 Å, b = 6.252 Å, c = 8.580 Å, α = 78.06°, β = 78.16° and γ = 75.95°. The distinct sites, in fractional coordinates, are K at (0.000, 0.000, 0.000), Mn at (0.441, 0.441, 0.230), Cr at (0.000, 0.000, 0.500), Cl at (0.188, 0.748, 0.705), Cl at (0.247, 0.244, 0.472), Cl at (0.249, 0.810, 0.295) and Cl at (0.335, 0.332, 0.010).

Please write out number 5 again, unchanged.
Compound: BaGa3W
Source: Alexandria
Functional: PBE
Structure: relaxed

The calculation puts the total energy at -4.96 eV per atom. As for the crystal system: cubic.

It has space group Pm-3m (No. 221), with a = 5.025 Å, b = 5.025 Å, c = 5.025 Å, α = 90.00°, β = 90.00° and γ = 90.00°. The distinct sites, in fractional coordinates, are Ba at (0.000, 0.000, 0.000), Ga at (0.000, 0.500, 0.500) and W at (0.500, 0.500, 0.500).